# 1
# CsRuO2F

A relaxed CsRuO2F crystal (PBEsol, Alexandria).

POSCAR file:
```
CsRuO2F
1.0
4.340 0.000 0.000
0.000 4.340 0.000
0.000 0.000 5.109
Cs Ru O F
1 1 2 1
Cartesian
0.000 0.000 0.000
2.170 2.170 2.554
0.000 2.170 0.000
2.170 0.000 0.000
0.000 0.000 2.554
```

Properties
Theoretical density in Mg/m³: 4.9
Space group: P4/mmm, No. 123
D(E_F) in states/eV/cell: 6.523

=====

# 2
# CsSO3F

A relaxed CsSO3F crystal (PBEsol, Alexandria).

POSCAR file:
```
CsSO3F
1.0
7.873 0.000 0.000
0.000 7.840 0.000
-3.752 0.000 7.164
Cs S O F
4 4 12 4
Cartesian
0.961 0.859 1.710
-0.914 3.061 5.291
5.036 4.778 1.872
3.160 6.981 5.454
1.001 4.637 1.641
-0.874 7.122 5.222
4.996 0.717 1.941
3.120 3.202 5.523
0.329 5.622 0.821
-1.547 6.138 4.403
-1.741 0.092 6.057
0.135 3.828 2.476
0.215 0.006 4.595
2.091 3.914 1.013
2.030 3.926 6.150
3.906 7.833 2.568
3.986 4.011 4.688
5.862 7.748 1.106
5.668 1.702 2.761
3.792 2.218 6.343
1.792 5.569 2.730
-0.084 6.190 6.312
4.205 1.650 0.852
2.329 2.270 4.433
```

Properties
Theoretical density in Mg/m³: 3.5
Space group: P2_1/c, No. 14
D(E_F) in states/eV/cell: 0.000

=====

# 3
# CsSbSO4F2

A relaxed CsSbSO4F2 crystal (PBEsol, Alexandria).

POSCAR file:
```
CsSbSO4F2
1.0
9.869 0.000 0.000
0.000 11.462 0.000
0.000 0.000 5.416
Cs Sb S O F
4 4 4 16 8
Cartesian
0.186 1.855 0.000
4.749 7.586 2.708
5.120 3.876 0.000
9.683 9.608 2.708
1.690 6.744 0.049
3.244 1.013 2.757
6.625 10.449 0.049
8.178 4.718 2.757
1.880 4.266 3.033
3.055 9.997 0.325
6.814 1.465 3.033
7.989 7.197 0.325
0.692 3.856 2.257
1.363 4.934 4.303
2.161 10.869 4.990
2.313 8.779 0.826
2.621 3.048 3.533
2.773 5.138 2.282
3.571 10.665 1.595
4.243 9.587 4.965
5.626 1.875 2.257
6.298 0.797 4.303
7.096 6.324 4.990
7.247 8.414 0.826
7.555 2.683 3.533
7.707 0.593 2.282
8.505 6.529 1.595
9.177 7.606 4.965
1.297 0.714 2.552
1.800 7.636 3.732
3.134 1.905 1.024
3.637 6.445 5.260
6.232 5.017 2.552
6.734 9.558 3.732
8.068 3.826 1.024
8.571 10.748 5.260
```

Properties
Theoretical density in Mg/m³: 4.2
Space group: Pna2_1, No. 33
D(E_F) in states/eV/cell: 0.000

=====

# 4
# CsSbOF2

A relaxed CsSbOF2 crystal (PBEsol, Alexandria).

POSCAR file:
```
CsSbOF2
1.0
4.673 0.000 0.000
0.000 4.673 0.000
0.000 0.000 4.257
Cs Sb O F
1 1 1 2
Cartesian
0.000 0.000 0.000
2.336 2.336 2.128
2.336 2.336 0.000
0.000 2.336 2.128
2.336 0.000 2.128
```

Properties
Theoretical density in Mg/m³: 5.5
Space group: P4/mmm, No. 123
D(E_F) in states/eV/cell: 0.321

=====

# 5
# CsSiO2F

A relaxed CsSiO2F crystal (PBEsol, Alexandria).

POSCAR file:
```
CsSiO2F
1.0
4.347 0.000 0.000
0.000 4.347 0.000
0.000 0.000 5.108
Cs Si O F
1 1 2 1
Cartesian
0.000 0.000 0.000
2.174 2.174 2.554
0.000 2.174 0.000
2.174 0.000 0.000
0.000 0.000 2.554
```

Properties
Theoretical density in Mg/m³: 3.6
Space group: P4/mmm, No. 123
D(E_F) in states/eV/cell: 1.471

=====

# 6
# Cs2TeOF4

A relaxed Cs2TeOF4 crystal (PBEsol, Alexandria).

POSCAR file:
```
Cs2TeOF4
1.0
3.328 -7.263 0.000
3.328 7.263 0.000
0.000 0.000 7.165
Cs Te O F
4 2 2 8
Cartesian
3.328 6.376 5.374
3.328 3.523 1.791
3.328 -3.523 5.374
3.328 -6.376 1.791
3.328 1.572 5.374
3.328 -1.572 1.791
3.328 3.392 5.374
3.328 -3.392 1.791
1.824 1.610 3.926
1.824 1.610 6.822
1.824 -1.610 0.343
1.824 -1.610 3.240
4.832 1.610 3.926
4.832 1.610 6.822
4.832 -1.610 0.343
4.832 -1.610 3.240
```

Properties
Theoretical density in Mg/m³: 4.7
Space group: Cmcm, No. 63
D(E_F) in states/eV/cell: 0.000

=====

| no. | final energy (eV per formula unit) |
| --- | --- |
| 1 | -18.5 |
| 2 | -34.3 |
| 3 | -52.0 |
| 4 | -24.7 |
| 5 | -17.0 |
| 6 | -37.0 |